1.
InGa6Hg2 | PBE | optimized geometry

Structure (POSCAR):
```
InGa6Hg2
1.0
4.7095 -3.8038 0.0000
4.7095 3.8038 0.0000
-0.3438 0.0000 5.4800
In Ga Hg
1 6 2
Direct
0.0000 0.0000 0.0000
0.0975 0.4590 0.2358
0.1781 0.8219 0.5000
0.4590 0.0975 0.2358
0.5410 0.9025 0.7642
0.8219 0.1781 0.5000
0.9025 0.5410 0.7642
0.3956 0.3956 0.7665
0.6044 0.6044 0.2335
```

Properties
ΔE_f: 0.49 eV per formula unit
E_tot: -2.3345 eV/atom
theoretical density: 7.9 g/cm³



2.
In4Ga4Hg | PBE | optimized geometry

Structure (POSCAR):
```
In4Ga4Hg
1.0
4.1474 0.0000 0.0000
-1.5888 6.3099 0.0000
-0.8335 -2.4507 8.1914
In Ga Hg
4 4 1
Direct
0.1412 0.4111 0.2952
0.2295 0.8988 0.0945
0.7705 0.1012 0.9055
0.8588 0.5889 0.7048
0.1565 0.1960 0.6496
0.4217 0.8309 0.5788
0.5783 0.1691 0.4212
0.8435 0.8040 0.3504
0.5000 0.5000 0.0000
```

Properties
E above lowest polymorph: 0.000 eV/atom
ΔE_f: 0.28 eV per formula unit
E_tot: -2.5645 eV/atom
theoretical density: 7.3 g/cm³



3.
In5GaHg3 | PBE | optimized geometry

Structure (POSCAR):
```
In5GaHg3
1.0
9.3129 0.0000 0.0000
-4.6565 8.0652 0.0000
0.0000 0.0000 6.2584
In Ga Hg
10 2 6
Direct
0.0000 0.2754 0.2500
0.0000 0.7246 0.7500
0.2754 0.0000 0.2500
0.2754 0.2754 0.7500
0.3333 0.6667 0.0000
0.3333 0.6667 0.5000
0.6667 0.3333 0.0000
0.6667 0.3333 0.5000
0.7246 0.0000 0.7500
0.7246 0.7246 0.2500
0.0000 0.0000 0.0000
0.0000 0.0000 0.5000
0.0000 0.3800 0.7500
0.0000 0.6200 0.2500
0.3800 0.0000 0.7500
0.3800 0.3800 0.2500
0.6200 0.0000 0.2500
0.6200 0.6200 0.7500
```

Properties
ΔE_f: 0.26 eV per formula unit
E_tot: -1.9298 eV/atom
theoretical density: 8.8 g/cm³



4.
In15GaHg4 | PBE | optimized geometry

Structure (POSCAR):
```
In15GaHg4
1.0
4.6970 0.0000 0.0000
0.0000 4.6970 0.0000
0.0000 0.0000 23.6763
In Ga Hg
15 1 4
Direct
0.0000 0.0000 0.0000
0.0000 0.0000 0.1991
0.0000 0.0000 0.3994
0.0000 0.0000 0.6006
0.0000 0.0000 0.8009
0.0000 0.5000 0.0983
0.0000 0.5000 0.2984
0.0000 0.5000 0.5000
0.0000 0.5000 0.7016
0.0000 0.5000 0.9017
0.5000 0.0000 0.0983
0.5000 0.0000 0.2984
0.5000 0.0000 0.5000
0.5000 0.0000 0.7016
0.5000 0.0000 0.9017
0.5000 0.5000 0.0000
0.5000 0.5000 0.1978
0.5000 0.5000 0.3982
0.5000 0.5000 0.6018
0.5000 0.5000 0.8022
```

Properties
ΔE_f: 0.17 eV per formula unit
E_tot: -2.2572 eV/atom
theoretical density: 8.2 g/cm³